Record 1
The following is a GGA-PBEsol calculation of a geometry-optimized NbOsCl2 structure, from Alexandria.

Unit cell a=8.8744 b=8.8744 c=8.8744 alpha=19.22 beta=19.22 gamma=19.22
With the nearest neighbours (Å) after each atom.
Atoms (fractional coordinates):
Nb 0.0000 0.0000 0.0000  2 Cl 2.38
Os 0.5000 0.5000 0.5000  6 Cl 2.61
Cl 0.0912 0.0912 0.0912  1 Nb 2.38, 3 Os 2.61
Cl 0.9088 0.9088 0.9088  1 Nb 2.38, 3 Os 2.61

Calculated values
Formation energy from raw total energies = 0.73 eV per atom
Total DFT energy (no corrections) = -24.15 eV/cell
Size of the total moment = 1.08 μB/f.u.
Theoretical density = 8.88 g/cm³

=====

Record 2
The following is a GGA-PBEsol calculation of a geometry-optimized Al2PtPb structure, from Alexandria.

Unit cell a=4.8948 b=4.8948 c=3.1530 alpha=90.00 beta=90.00 gamma=106.01
With the nearest neighbours (Å) after each atom.
Atoms (fractional coordinates):
Al 0.0000 0.5000 0.0000  4 Pb 2.91, 4 Pt 2.91, 4 Al 2.95-3.15
Al 0.5000 0.0000 0.0000  4 Pb 2.91, 4 Pt 2.91, 4 Al 2.95-3.15
Pt 0.0000 0.0000 0.5000  8 Al 2.91, 2 Pb 2.95, 2 Pt 3.15
Pb 0.5000 0.5000 0.5000  8 Al 2.91, 2 Pt 2.95, 2 Pb 3.15

Calculated values
Energy of formation = 0.036 eV/atom
Total DFT energy (no corrections) = -19.00 eV/cell
Size of the total moment = 0.00 μB/f.u.
Theoretical density = 10.43 g/cm³

=====

Record 3
The following is a GGA-PBEsol calculation of a geometry-optimized CsTeHN2 structure, from Alexandria.

Unit cell a=4.9381 b=4.9381 c=3.6874 alpha=90.00 beta=90.00 gamma=90.00
With the nearest neighbours (Å) after each atom.
Atoms (fractional coordinates):
Cs 0.0000 0.0000 0.0000  8 N 3.08
Te 0.5000 0.5000 0.0000  2 H 1.84
H 0.5000 0.5000 0.5000  2 Te 1.84
N 0.0000 0.5000 0.5000  2 H 2.47
N 0.5000 0.0000 0.5000  2 H 2.47

Calculated values
Energy above the most stable polymorph in this dataset = 0.0 meV/atom
Total DFT energy (no corrections) = -16.31 eV/cell
Size of the total moment = 3.49 μB/f.u.
Theoretical density = 5.35 g/cm³

=====

Record 4
The following is a GGA-PBEsol calculation of a geometry-optimized BaLiCo2 structure, from Alexandria.

Unit cell a=3.8587 b=4.2627 c=5.0742 alpha=90.00 beta=101.25 gamma=90.00
With the nearest neighbours (Å) after each atom.
Atoms (fractional coordinates):
Ba 0.0000 0.0000 0.0000  2 Li 2.87
Li 0.5000 0.0000 0.5000  4 Co 2.39
Co 0.2754 0.5000 0.5986  2 Co 2.16-2.17, 2 Li 2.39
Co 0.7246 0.5000 0.4014  2 Co 2.16-2.17, 2 Li 2.39

Calculated values
Energy of formation = 0.622 eV/atom
Energy above the most stable polymorph in this dataset = 223.2 meV/atom
Total DFT energy (no corrections) = -17.10 eV/cell
Size of the total moment = 1.91 μB/f.u.
Theoretical density = 5.32 g/cm³

=====

Record 5
The following is a GGA-PBEsol calculation of a geometry-optimized Cu3Si structure, from Alexandria.

Unit cell a=7.6181 b=7.6181 c=7.6181 alpha=152.84 beta=152.84 gamma=38.78
With the nearest neighbours (Å) after each atom.
Atoms (fractional coordinates):
Cu 0.0000 0.5000 0.5000  8 Cu 2.52-2.53, 4 Si 2.55
Cu 0.1236 0.1236 0.0000  8 Cu 2.52-2.55, 4 Si 2.53
Cu 0.2500 0.7500 0.5000  4 Si 2.52, 8 Cu 2.53-2.55
Cu 0.5000 0.0000 0.5000  8 Cu 2.52-2.53, 4 Si 2.55
Cu 0.7500 0.2500 0.5000  4 Si 2.52, 8 Cu 2.53-2.55
Cu 0.8764 0.8764 0.0000  8 Cu 2.52-2.55, 4 Si 2.53
Si 0.3734 0.3734 0.0000  12 Cu 2.52-2.55
Si 0.6266 0.6266 0.0000  12 Cu 2.52-2.55

Calculated values
Formation energy from raw total energies = -0.09 eV per atom
Total DFT energy (no corrections) = -38.26 eV/cell
Size of the total moment = 0.00 μB/f.u.
Theoretical density = 7.90 g/cm³

=====

Record 6
The following is a GGA-PBEsol calculation of a geometry-optimized BeCdI2 structure, from Alexandria.

Unit cell a=7.0368 b=7.0368 c=7.0368 alpha=114.05 beta=114.05 gamma=100.65
With the nearest neighbours (Å) after each atom.
Atoms (fractional coordinates):
Be 0.0000 0.0000 0.0000  4 I 2.43
Be 0.7500 0.2500 0.5000  4 I 2.43
Cd 0.2500 0.7500 0.5000  8 I 3.61-4.00
Cd 0.5000 0.5000 0.0000  8 I 3.61-4.00
I 0.0038 0.6250 0.8788  2 Be 2.43
I 0.3750 0.2538 0.3788  2 Be 2.43
I 0.7462 0.1250 0.1212  2 Be 2.43
I 0.8750 0.9962 0.6212  2 Be 2.43

Calculated values
Formation energy from raw total energies = -0.05 eV per atom
Total DFT energy (no corrections) = -17.89 eV/cell
Size of the total moment = 0.00 μB/f.u.
Theoretical density = 4.73 g/cm³

=====

Record 7
The following is a GGA-PBEsol calculation of a geometry-optimized ZnCoIr2 structure, from Alexandria.

Unit cell a=4.4585 b=4.4585 c=4.4585 alpha=129.68 beta=129.68 gamma=73.92
With the nearest neighbours (Å) after each atom.
Atoms (fractional coordinates):
Zn 0.0000 0.0000 0.0000  8 Ir 2.60, 4 Co 2.68
Co 0.5000 0.5000 0.0000  8 Ir 2.60, 4 Zn 2.68
Ir 0.2500 0.7500 0.5000  4 Co 2.60, 4 Zn 2.60, 4 Ir 2.68
Ir 0.7500 0.2500 0.5000  4 Co 2.60, 4 Zn 2.60, 4 Ir 2.68

Calculated values
Energy of formation = 0.032 eV/atom
Total DFT energy (no corrections) = -28.84 eV/cell
Size of the total moment = 0.00 μB/f.u.
Theoretical density = 16.50 g/cm³

=====

Record 8
The following is a GGA-PBEsol calculation of a geometry-optimized Li2Fe3SnO8 structure, from Alexandria.

Unit cell a=5.9641 b=5.9641 c=5.9641 alpha=56.39 beta=56.39 gamma=56.39
With the nearest neighbours (Å) after each atom.
Atoms (fractional coordinates):
Li 0.1222 0.1222 0.1222  3 O 1.88
Li 0.8778 0.8778 0.8778  3 O 1.88
Fe 0.0000 0.5000 0.5000  6 O 1.91-1.92
Fe 0.5000 0.0000 0.5000  6 O 1.91-1.92
Fe 0.5000 0.5000 0.0000  6 O 1.91-1.92
Sn 0.5000 0.5000 0.5000  6 O 2.08
O 0.2500 0.2500 0.7179  1 Li 1.88, 2 Fe 1.92, 1 Sn 2.08
O 0.2500 0.7179 0.2500  1 Li 1.88, 2 Fe 1.92, 1 Sn 2.08
O 0.2663 0.2663 0.2663  3 Fe 1.91
O 0.2821 0.7500 0.7500  1 Li 1.88, 2 Fe 1.92, 1 Sn 2.08
O 0.7179 0.2500 0.2500  1 Li 1.88, 2 Fe 1.92, 1 Sn 2.08
O 0.7337 0.7337 0.7337  3 Fe 1.91
O 0.7500 0.2821 0.7500  1 Li 1.88, 2 Fe 1.92, 1 Sn 2.08
O 0.7500 0.7500 0.2821  1 Li 1.88, 2 Fe 1.92, 1 Sn 2.08

Calculated values
Formation energy from raw total energies = -1.53 eV per atom
Energy above the most stable polymorph in this dataset = 0.0 meV/atom
Total DFT energy (no corrections) = -98.51 eV/cell
Size of the total moment = 4.00 μB/f.u.
Theoretical density = 5.17 g/cm³

=====

Record 9
The following is a GGA-PBEsol calculation of a geometry-optimized NiAgIN2 structure, from Alexandria.

Unit cell a=3.8716 b=3.8716 c=6.7234 alpha=90.00 beta=90.00 gamma=90.00
With the nearest neighbours (Å) after each atom.
Atoms (fractional coordinates):
Ni 0.0000 0.0000 0.0000  4 I 2.74
Ag 0.5000 0.5000 0.5000  4 N 1.94
I 0.5000 0.5000 0.0000  4 Ni 2.74
N 0.0000 0.5000 0.5000  2 Ag 1.94
N 0.5000 0.0000 0.5000  2 Ag 1.94

Calculated values
Formation energy from raw total energies = 1.89 eV per atom
Total DFT energy (no corrections) = -18.84 eV/cell
Size of the total moment = 3.89 μB/f.u.
Theoretical density = 5.30 g/cm³

=====

Record 10
The following is a GGA-PBEsol calculation of a geometry-optimized Li4CuP2O8 structure, from Alexandria.

Unit cell a=8.1718 b=10.1532 c=8.0276 alpha=90.00 beta=107.32 gamma=90.00
With the nearest neighbours (Å) after each atom.
Atoms (fractional coordinates):
Li 0.0173 0.0786 0.2671  4 O 1.95-2.04
Li 0.0173 0.4214 0.7671  4 O 1.95-2.04
Li 0.0919 0.1619 0.5929  4 O 1.93-2.01
Li 0.0919 0.3381 0.0929  4 O 1.93-2.01
Li 0.1778 0.6650 0.6812  4 O 1.93-1.99
Li 0.1778 0.8350 0.1812  4 O 1.93-1.99
Li 0.3561 0.1464 0.3518  4 O 1.95-2.03
Li 0.3561 0.3536 0.8518  4 O 1.95-2.03
Li 0.6439 0.6464 0.1482  4 O 1.95-2.03
Li 0.6439 0.8536 0.6482  4 O 1.95-2.03
Li 0.8222 0.1650 0.8188  4 O 1.93-1.99
Li 0.8222 0.3350 0.3188  4 O 1.93-1.99
Li 0.9081 0.6619 0.9071  4 O 1.93-2.01
Li 0.9081 0.8381 0.4071  4 O 1.93-2.01
Li 0.9827 0.5786 0.2329  4 O 1.95-2.04
Li 0.9827 0.9214 0.7329  4 O 1.95-2.04
Cu 0.4222 0.6358 0.4468  4 O 1.88-2.05
Cu 0.4222 0.8642 0.9468  4 O 1.88-2.05
Cu 0.5778 0.1358 0.0532  4 O 1.88-2.05
Cu 0.5778 0.3642 0.5532  4 O 1.88-2.05
P 0.1947 0.0951 0.9688  4 O 1.53-1.56
P 0.1947 0.4049 0.4688  4 O 1.53-1.56
P 0.2795 0.5895 0.0550  4 O 1.54-1.56
P 0.2795 0.9105 0.5550  4 O 1.54-1.56
P 0.7205 0.0895 0.4450  4 O 1.54-1.56
P 0.7205 0.4105 0.9450  4 O 1.54-1.56
P 0.8053 0.5951 0.5312  4 O 1.53-1.56
P 0.8053 0.9049 0.0312  4 O 1.53-1.56
O 0.0417 0.1058 0.8019  1 P 1.54
O 0.0417 0.3942 0.3019  1 P 1.54
O 0.1279 0.6546 0.1028  1 P 1.55
O 0.1279 0.8454 0.6028  1 P 1.55
O 0.1554 0.1529 0.1293  1 P 1.53
O 0.1554 0.3471 0.6293  1 P 1.53
O 0.2255 0.0490 0.4794  1 P 1.54
O 0.2255 0.4510 0.9794  1 P 1.54
O 0.2367 0.5547 0.5018  1 P 1.56
O 0.2367 0.9453 0.0018  1 P 1.56
O 0.3326 0.6743 0.9181  1 P 1.56
O 0.3326 0.8257 0.4181  1 P 1.56
O 0.3463 0.1716 0.9339  1 P 1.56
O 0.3463 0.3284 0.4339  1 P 1.56
O 0.4414 0.5842 0.2182  1 P 1.56
O 0.4414 0.9158 0.7182  1 P 1.56
O 0.5586 0.0842 0.2818  1 P 1.56
O 0.5586 0.4158 0.7818  1 P 1.56
O 0.6537 0.6716 0.5661  1 P 1.56
O 0.6537 0.8284 0.0661  1 P 1.56
O 0.6674 0.1743 0.5819  1 P 1.56
O 0.6674 0.3257 0.0819  1 P 1.56
O 0.7633 0.0547 0.9982  1 P 1.56
O 0.7633 0.4453 0.4982  1 P 1.56
O 0.7745 0.5490 0.0206  1 P 1.54
O 0.7745 0.9510 0.5206  1 P 1.54
O 0.8446 0.6529 0.3707  1 P 1.53
O 0.8446 0.8471 0.8707  1 P 1.53
O 0.8721 0.1546 0.3972  1 P 1.55
O 0.8721 0.3454 0.8972  1 P 1.55
O 0.9583 0.6058 0.6981  1 P 1.54
O 0.9583 0.8942 0.1981  1 P 1.54

Calculated values
Formation energy from raw total energies = -2.12 eV per atom
Energy above the most stable polymorph in this dataset = 0.0 meV/atom
Total DFT energy (no corrections) = -390.40 eV/cell
Size of the total moment = 1.00 μB/f.u.
Theoretical density = 2.94 g/cm³

=====

Record 11
The following is a GGA-PBEsol calculation of a geometry-optimized LaFeTe2 structure, from Alexandria.

Unit cell a=3.7024 b=3.7024 c=7.4317 alpha=90.00 beta=90.00 gamma=102.40
With the nearest neighbours (Å) after each atom.
Atoms (fractional coordinates):
La 0.0000 0.0000 0.0000  4 Te 3.11
Fe 0.0000 0.0000 0.5000  4 Te 2.84
Te 0.5000 0.5000 0.2790  2 Fe 2.84, 2 La 3.11
Te 0.5000 0.5000 0.7210  2 Fe 2.84, 2 La 3.11

Calculated values
Formation energy from raw total energies = -0.34 eV per atom
Total DFT energy (no corrections) = -22.73 eV/cell
Size of the total moment = 3.01 μB/f.u.
Theoretical density = 7.51 g/cm³

=====

Record 12
The following is a GGA-PBEsol calculation of a geometry-optimized Sc2PtRh structure, from Alexandria.

Unit cell a=9.2019 b=9.2019 c=9.2019 alpha=18.83 beta=18.83 gamma=18.83
With the nearest neighbours (Å) after each atom.
Atoms (fractional coordinates):
Sc 0.0872 0.0872 0.0872  1 Rh 2.36
Sc 0.9128 0.9128 0.9128  1 Rh 2.36
Pt 0.5000 0.5000 0.5000  6 Sc 2.77, 6 Pt 3.01
Rh 0.0000 0.0000 0.0000  2 Sc 2.36

Calculated values
Energy of formation = -0.277 eV/atom
Total DFT energy (no corrections) = -29.42 eV/cell
Size of the total moment = 0.00 μB/f.u.
Theoretical density = 9.08 g/cm³

=====

Look up the size of the total moment of the fifth one.
0.00 μB/f.u.

=====

Which value of theoretical density does entry 7 give?
16.50 g/cm³